GGA-PBE Tl9Cd4Hg, relaxed; density = 10.06 g/cm³; formation energy = 0.036 eV/atom
1.0
10.0154 0.0000 0.0000
-5.0077 8.6736 0.0000
0.0000 0.0000 9.4655
Tl Cd Hg
18 8 2
Cartesian
-1.8842 4.6945 2.3664
0.0000 3.3715 5.2108
0.0000 3.3715 8.9875
-2.0879 6.9878 5.2108
-2.0879 6.9878 8.9875
2.9198 1.6858 0.4781
2.9198 1.6858 4.2547
1.8842 4.6945 2.3664
0.0000 7.9581 2.3664
5.0077 0.7155 7.0991
3.1235 3.9790 7.0991
2.0879 6.9878 5.2108
2.0879 6.9878 8.9875
7.0955 1.6858 0.4781
7.0955 1.6858 4.2547
5.0077 5.3020 0.4781
5.0077 5.3020 4.2547
6.8919 3.9790 7.0991
0.0000 0.0000 0.0000
0.0000 0.0000 4.7328
0.0000 1.8941 2.3664
-3.3674 7.7265 2.3664
1.6404 0.9471 7.0991
3.3673 7.7265 2.3664
8.3750 0.9471 7.0991
5.0077 6.7795 7.0991
0.0000 5.7824 7.0991
5.0077 2.8912 2.3664


GGA-PBE HgRuSe2, relaxed; density = 7.98 g/cm³; E_form (uncorrected) = -0.070 eV/atom
1.0
2.9727 0.0000 0.0000
0.0000 3.2525 0.0000
0.0000 0.0000 19.7900
Hg Ru Se
2 2 4
Cartesian
0.0000 0.0000 0.0000
1.4864 1.6263 9.8950
0.0000 1.6263 15.0029
1.4864 0.0000 5.1078
0.0000 0.0000 13.1721
0.0000 1.6263 6.4417
1.4864 0.0000 16.3367
1.4864 1.6263 3.2771


GGA-PBE Ba2InBi4Au3, relaxed; density = 9.65 g/cm³; formation energy = -0.461 eV/atom
1.0
5.1563 0.0000 0.0000
0.0000 5.1563 0.0000
0.0000 0.0000 11.7504
Ba In Bi Au
2 1 4 3
Cartesian
0.0000 2.5782 2.9237
2.5782 0.0000 8.8267
2.5782 2.5782 0.0000
0.0000 0.0000 5.8752
0.0000 2.5782 10.1661
2.5782 0.0000 1.5843
2.5782 2.5782 5.8752
0.0000 0.0000 0.0000
0.0000 2.5782 7.3438
2.5782 0.0000 4.4067


GGA-PBE BeH2S, relaxed; density = 1.96 g/cm³
1.0
4.7044 0.0000 0.0000
0.0000 4.7044 0.0000
0.0000 0.0000 6.5907
Be H S
4 8 4
Cartesian
0.0000 1.1761 2.4715
0.0000 3.5283 4.1192
2.3522 1.1761 0.8238
2.3522 3.5283 5.7669
0.0000 0.0000 3.2953
0.0000 2.3522 3.2953
1.1761 1.1761 1.6477
1.1761 3.5283 4.9430
2.3522 0.0000 0.0000
2.3522 2.3522 0.0000
3.5283 1.1761 1.6477
3.5283 3.5283 4.9430
0.0000 1.1761 5.7669
0.0000 3.5283 0.8238
2.3522 1.1761 4.1192
2.3522 3.5283 2.4715


GGA-PBE Pu3SnPt4, relaxed; density = 15.62 g/cm³; formation energy = 0.093 eV/atom
1.0
3.5175 0.0000 0.0000
0.0000 6.7234 0.0000
0.0000 0.0000 14.6649
Pu Sn Pt
6 2 8
Cartesian
0.0000 0.0000 0.0000
0.0000 3.3617 2.7913
0.0000 3.3617 11.8736
1.7588 0.0000 4.5411
1.7588 0.0000 10.1238
1.7588 3.3617 7.3324
0.0000 0.0000 7.3324
1.7588 3.3617 0.0000
0.0000 2.0072 5.3500
0.0000 2.0072 9.3149
0.0000 4.7162 5.3500
0.0000 4.7162 9.3149
1.7588 1.3545 1.9825
1.7588 1.3545 12.6824
1.7588 5.3689 1.9825
1.7588 5.3689 12.6824


GGA-PBE Si2GeAsS, relaxed; density = 3.52 g/cm³; E_form (uncorrected) = 0.922 eV/atom
1.0
4.8514 0.0000 0.0000
0.0000 4.8514 0.0000
0.0000 0.0000 4.7216
Si Ge As S
2 1 1 1
Cartesian
0.0000 2.4257 0.0000
2.4257 0.0000 0.0000
0.0000 0.0000 2.3608
2.4257 2.4257 0.0000
2.4257 2.4257 2.3608


GGA-PBE La2Ni4BiSb3, relaxed; density = 8.58 g/cm³; E_form (uncorrected) = -0.633 eV/atom
1.0
4.5539 0.0000 0.0000
0.0000 4.5539 0.0000
0.0000 0.0000 10.1477
La Ni Bi Sb
2 4 1 3
Cartesian
0.0000 2.2770 2.3563
2.2770 0.0000 7.7914
0.0000 0.0000 0.0000
0.0000 2.2770 6.3813
2.2770 0.0000 3.7664
2.2770 2.2770 0.0000
0.0000 0.0000 5.0739
0.0000 2.2770 8.8935
2.2770 0.0000 1.2542
2.2770 2.2770 5.0739


GGA-PBE K3RbPb2, relaxed; density = 3.19 g/cm³; formation energy = -0.020 eV/atom
1.0
9.7410 -5.0084 0.0000
9.7410 5.0084 0.0000
0.0000 0.0000 6.5762
K Rb Pb
6 2 4
Cartesian
9.7410 3.8095 4.9322
5.9134 1.6787 4.9322
5.9134 -1.6787 1.6441
13.5686 1.6787 4.9322
13.5686 -1.6787 1.6441
9.7410 -3.8095 1.6441
9.7410 1.7865 1.6441
9.7410 -1.7865 4.9322
3.0021 0.0000 0.0000
3.0021 0.0000 3.2881
16.4798 0.0000 0.0000
16.4798 0.0000 3.2881


GGA-PBE ScTaNiRh, relaxed; density = 10.09 g/cm³; formation energy = -0.435 eV/atom
1.0
6.3417 0.0000 0.0000
0.0000 6.3417 0.0000
0.0000 0.0000 6.3417
Sc Ta Ni Rh
4 4 4 4
Cartesian
0.0000 0.0000 0.0000
0.0000 3.1708 3.1708
3.1708 0.0000 3.1708
3.1708 3.1708 0.0000
0.0000 0.0000 3.1708
0.0000 3.1708 0.0000
3.1708 0.0000 0.0000
3.1708 3.1708 3.1708
1.5854 1.5854 1.5854
1.5854 4.7562 4.7562
4.7562 1.5854 4.7562
4.7562 4.7562 1.5854
1.5854 1.5854 4.7562
1.5854 4.7562 1.5854
4.7562 1.5854 1.5854
4.7562 4.7562 4.7562


GGA-PBE Pm5ErZn4, relaxed; density = 7.32 g/cm³; formation energy = -0.246 eV/atom
1.0
3.6543 0.0000 0.0000
0.0000 3.6543 0.0000
0.0000 0.0000 19.6058
Pm Er Zn
5 1 4
Cartesian
0.0000 0.0000 0.0000
0.0000 0.0000 3.6516
0.0000 0.0000 7.2973
0.0000 0.0000 12.3085
0.0000 0.0000 15.9542
1.8271 1.8271 9.8029
1.8271 1.8271 1.8395
1.8271 1.8271 5.4902
1.8271 1.8271 14.1156
1.8271 1.8271 17.7663


GGA-PBE NaLiAgP2, relaxed; density = 2.92 g/cm³; formation energy = 0.274 eV/atom
1.0
4.8769 0.0000 0.0000
0.0000 4.8769 0.0000
0.0000 0.0000 4.7757
Na Li Ag P
1 1 1 2
Cartesian
0.0000 0.0000 0.0000
2.4384 2.4384 0.0000
2.4384 2.4384 2.3878
0.0000 2.4384 2.3878
2.4384 0.0000 2.3878


GGA-PBE Sm2Si4W3, relaxed; density = 10.26 g/cm³; E_form (uncorrected) = -0.477 eV/atom
1.0
6.8979 0.0000 0.0000
0.0000 6.9770 0.0000
-2.2381 0.0000 6.4862
Sm Si W
4 8 6
Cartesian
1.1632 1.1761 0.3951
0.0441 2.3124 3.6382
4.6157 4.6646 2.8480
3.4966 5.8009 6.0912
-1.3076 3.8223 5.6372
-0.1885 6.6432 2.3941
2.0050 4.4128 4.0639
3.1240 6.0526 0.8208
1.5358 0.9243 5.6654
2.6548 2.5641 2.4223
4.8483 0.3338 4.0921
5.9673 3.1547 0.8490
1.1988 4.5958 1.6104
0.0798 5.8697 4.8535
2.3299 0.0000 3.2431
3.4489 3.4885 0.0000
4.5800 1.1073 1.6327
3.4610 2.3812 4.8758


GGA-PBE YAlNi, relaxed; density = 4.54 g/cm³; formation energy = 0.096 eV/atom
1.0
8.5152 0.0000 0.0000
-4.2576 7.3744 0.0000
0.0000 0.0000 3.0494
Y Al Ni
3 3 3
Cartesian
0.0000 0.0000 0.0000
0.0000 4.9162 1.5247
4.2576 2.4581 1.5247
-2.9381 5.0890 1.5247
1.3195 2.2854 1.5247
5.8763 0.0000 1.5247
-1.9554 3.3868 0.0000
3.9108 0.0000 0.0000
2.3022 3.9875 0.0000


GGA-PBE Cd2In3HgPb3, relaxed; density = 9.16 g/cm³; formation energy = 0.052 eV/atom
1.0
9.0151 0.0000 0.0000
-4.5075 7.8073 0.0000
0.0000 0.0000 3.5858
Cd In Hg Pb
2 3 1 3
Cartesian
0.0000 5.2049 0.0000
4.5076 2.6024 0.0000
-1.6638 2.8819 1.7929
3.3277 0.0000 1.7929
2.8437 4.9254 1.7929
0.0000 0.0000 1.7929
-3.1650 5.4820 0.0000
1.3425 2.3253 0.0000
6.3300 0.0000 0.0000


GGA-PBE NaPm4ErSe8, relaxed; density = 5.15 g/cm³; E_form (uncorrected) = -1.763 eV/atom
1.0
4.3289 2.4993 6.9597
-4.3289 2.4993 6.9597
0.0000 -4.9986 6.9597
Na Pm Er Se
1 4 1 8
Cartesian
0.0000 0.0000 0.0000
-2.2439 -1.2955 9.4963
0.0000 0.0000 5.1486
2.2439 -1.2955 9.4963
0.0000 2.5910 9.4963
0.0000 0.0000 13.1149
0.0000 0.0000 7.9507
0.0000 -2.2926 11.2643
-1.9855 1.1463 11.2643
-1.9713 -1.1382 14.7578
1.9855 1.1463 11.2643
1.9714 -1.1382 14.7578
0.0000 2.2763 14.7578
0.0000 0.0000 18.0467


GGA-PBE Ce5Th, relaxed; density = 9.26 g/cm³; formation energy = 0.093 eV/atom
1.0
5.7925 0.0000 0.0000
-2.8962 5.0164 0.0000
0.0000 0.0000 5.7586
Ce Th
5 1
Cartesian
-1.9195 3.3246 0.0000
0.0000 3.3443 2.8793
0.9768 1.6918 0.0000
3.8390 0.0000 0.0000
2.8962 1.6721 2.8793
0.0000 0.0000 2.8793


GGA-PBE SmTm2Nb, relaxed; density = 8.90 g/cm³; formation energy = 0.529 eV/atom
1.0
3.2821 0.0000 0.0000
-1.6411 2.8424 0.0000
0.0000 0.0000 34.8638
Sm Tm Nb
3 6 3
Cartesian
0.0000 0.0000 0.0000
0.0000 1.8949 23.2426
1.6411 0.9475 11.6213
0.0000 0.0000 14.5497
0.0000 0.0000 20.3142
0.0000 1.8949 2.9284
0.0000 1.8949 8.6929
1.6411 0.9475 26.1710
1.6411 0.9475 31.9355
0.0000 0.0000 17.4319
0.0000 1.8949 5.8107
1.6411 0.9475 29.0532


GGA-PBE RbTl6In6, relaxed; density = 8.24 g/cm³; formation energy = -0.021 eV/atom
1.0
-3.1698 5.6174 5.6637
3.1698 -5.6174 5.6637
3.1698 5.6174 -5.6637
Rb Tl In
1 6 6
Cartesian
0.0000 0.0000 0.0000
3.1698 2.2395 0.0000
0.0000 3.9669 0.0000
0.0000 0.0000 4.0290
0.0000 0.0000 7.2984
0.0000 7.2680 0.0000
0.0000 3.3779 5.6637
1.5849 2.8087 -2.8319
1.5849 -2.8087 2.8319
3.1698 0.0000 2.5684
-1.5849 2.8087 2.8319
1.5849 2.8087 2.8319
0.0000 5.6174 3.0953


GGA-PBE CeAgSn, relaxed; density = 7.96 g/cm³; formation energy = -0.490 eV/atom
1.0
4.8445 0.0000 0.0000
-2.4223 4.1955 0.0000
0.0000 0.0000 7.5250
Ce Ag Sn
2 2 2
Cartesian
0.0000 0.0000 0.0000
0.0000 0.0000 3.7625
0.0000 2.7970 2.2540
2.4223 1.3985 6.0165
0.0000 2.7970 5.4409
2.4223 1.3985 1.6784


GGA-PBE CdOs3, relaxed; density = 18.08 g/cm³; formation energy = 0.664 eV/atom
1.0
4.4867 0.0000 0.0000
0.0000 5.5783 0.0000
0.0000 0.0000 5.0143
Cd Os
2 6
Cartesian
1.1217 1.3946 0.6733
3.3650 4.1837 4.3410
1.1217 2.8707 3.1767
1.1217 4.1837 0.8873
1.1217 5.4968 3.1767
3.3650 0.0815 1.8376
3.3650 1.3946 4.1270
3.3650 2.7076 1.8376


What are the uncorrected energy values for these records? In order: -1.77 -4.21 -3.65 -3.06 -8.80 -3.93 -5.56 -1.97 -8.26 -3.59 -3.11 -8.25 -5.23 -2.33 -5.53 -6.09 -5.40 -2.45 -4.75 -7.99 eV/atom.
What are the D(E_F) values for these records? In order: 4.54 1.79 2.59 2.08 28.09 3.14 5.47 4.34 2.80 11.32 2.62 4.07 2.00 4.09 0.00 17.15 5.71 5.18 6.10 4.13 states/eV/f.u..